(1)
Ca2Pm15Sm2 | PBE | relaxed

Computed properties:
Calculated formation energy   0.239 eV/atom

Cell lengths 8.9526, 8.9526, 8.9526 Å; angles 81.30, 81.30, 81.30 degrees
Fractional positions:
Pm (0.5000, 0.0000, 0.0000)
Pm (0.0000, 0.0000, 0.5000)
Ca (0.3323, 0.3323, 0.3323)
Pm (0.1481, 0.6361, 0.6361)
Pm (0.0000, 0.7034, 0.2966)
Pm (0.6361, 0.1481, 0.6361)
Pm (0.6361, 0.6361, 0.1481)
Pm (0.3639, 0.8519, 0.3639)
Pm (0.7034, 0.2966, 0.0000)
Pm (0.7034, 0.0000, 0.2966)
Pm (0.0000, 0.5000, 0.0000)
Sm (0.9061, 0.9061, 0.9061)
Pm (0.0000, 0.2966, 0.7034)
Pm (0.8519, 0.3639, 0.3639)
Pm (0.2966, 0.7034, 0.0000)
Pm (0.2966, 0.0000, 0.7034)
Ca (0.6677, 0.6677, 0.6677)
Pm (0.3639, 0.3639, 0.8519)
Sm (0.0939, 0.0939, 0.0939)

***

(2)
TaTl2Se | PBE | relaxed

Computed properties:
Uncorrected formation energy   548 meV per atom

Cell lengths 3.3995, 5.0675, 5.4469 Å; angles 90.00, 90.00, 90.00 degrees
Fractional positions:
Se (0.5000, 0.5000, 0.2500)
Tl (0.0000, 0.0000, 0.9991)
Tl (0.0000, 0.0000, 0.5009)
Ta (0.5000, 0.5000, 0.7500)

***

(3)
Sm4AsSe2Cl | PBE | relaxed

Computed properties:
Uncorrected formation energy   -1649 meV per atom

Cell lengths 4.1916, 7.2184, 7.2345 Å; angles 70.35, 90.00, 90.00 degrees
Fractional positions:
As (0.0000, 0.5000, 0.5000)
Sm (0.0000, 0.2355, 0.2729)
Se (0.0000, 0.0000, 0.0000)
Sm (0.5000, 0.7508, 0.2672)
Sm (0.5000, 0.2492, 0.7328)
Se (0.5000, 0.0000, 0.5000)
Sm (0.0000, 0.7645, 0.7271)
Cl (0.5000, 0.5000, 0.0000)

***

Number 1: total magnetic moment 0.00 μB per cell. Number 2: total magnetic moment 0.00 μB per cell. Number 3: total magnetic moment 0.00 μB per cell.